First-principles (PBE-GGA) data for a geometry-optimized LiCeHoRu structure, as listed in Alexandria.

As for the magnetization: 0.45 μB/cell. The value obtained for the formation energy is -183 meV per atom.

a b c (Å): 4.934 4.934 4.934
angles (deg): 60.00 60.00 60.00
Sites, in units of the cell vectors:
Li 0.000 0.000 0.000
Ce 0.750 0.750 0.750
Ho 0.250 0.250 0.250
Ru 0.500 0.500 0.500



First-principles (PBE-GGA) data for a geometry-optimized LiCe3Ho2S6 structure, as listed in Alexandria.

The calculation puts the uncorrected formation energy at -1.938 eV per atom. As for the magnetization: 2.98 μB/cell.

a b c (Å): 6.811 6.811 6.888
angles (deg): 99.49 99.49 120.06
Sites, in units of the cell vectors:
Li 0.000 0.000 0.000
Ce 0.166 0.834 0.500
Ce 0.500 0.500 0.500
Ce 0.834 0.166 0.500
Ho 0.333 0.667 0.000
Ho 0.667 0.333 0.000
S 0.078 0.406 0.233
S 0.250 0.250 0.767
S 0.406 0.078 0.233
S 0.594 0.922 0.767
S 0.750 0.750 0.233
S 0.922 0.594 0.767



First-principles (PBE-GGA) data for a geometry-optimized LiCeHoS3 structure, as listed in Alexandria.

The calculation puts the uncorrected formation energy at -1.812 eV per atom. As for the magnetization: 2.69 μB/cell.

a b c (Å): 8.082 3.863 8.477
angles (deg): 90.00 103.17 90.00
Sites, in units of the cell vectors:
Li 0.088 0.250 0.084
Li 0.912 0.750 0.916
Ce 0.185 0.250 0.721
Ce 0.815 0.750 0.279
Ho 0.334 0.750 0.337
Ho 0.666 0.250 0.663
S 0.099 0.250 0.364
S 0.216 0.750 0.001
S 0.431 0.750 0.670
S 0.569 0.250 0.330
S 0.784 0.250 0.999
S 0.901 0.750 0.636



First-principles (PBE-GGA) data for a geometry-optimized LiCe2HoS6 structure, as listed in Alexandria.

The calculation puts the uncorrected formation energy at -1.714 eV per atom. As for the magnetization: 0.00 μB/cell.

a b c (Å): 7.305 7.305 7.305
angles (deg): 56.26 56.26 56.26
Sites, in units of the cell vectors:
Li 0.000 0.000 0.000
Ce 0.298 0.298 0.298
Ce 0.800 0.800 0.800
Ho 0.498 0.498 0.498
S 0.097 0.400 0.695
S 0.202 0.893 0.599
S 0.400 0.695 0.097
S 0.599 0.202 0.893
S 0.695 0.097 0.400
S 0.893 0.599 0.202



First-principles (PBE-GGA) data for a geometry-optimized LiCe4Ho3S8 structure, as listed in Alexandria.

The calculation puts the uncorrected formation energy at -1.958 eV per atom. As for the magnetization: 4.04 μB/cell.

a b c (Å): 7.945 7.945 7.945
angles (deg): 59.31 59.31 59.31
Sites, in units of the cell vectors:
Li 0.000 0.000 0.000
Ce 0.000 0.000 0.500
Ce 0.000 0.500 0.000
Ce 0.500 0.000 0.000
Ce 0.500 0.500 0.500
Ho 0.000 0.500 0.500
Ho 0.500 0.000 0.500
Ho 0.500 0.500 0.000
S 0.242 0.242 0.749
S 0.242 0.749 0.242
S 0.251 0.758 0.758
S 0.254 0.254 0.254
S 0.746 0.746 0.746
S 0.749 0.242 0.242
S 0.758 0.251 0.758
S 0.758 0.758 0.251



First-principles (PBE-GGA) data for a geometry-optimized Li3CeHo2S6 structure, as listed in Alexandria.

The calculation puts the uncorrected formation energy at -1.803 eV per atom. As for the magnetization: 0.97 μB/cell.

a b c (Å): 6.847 6.847 6.578
angles (deg): 99.94 99.94 120.03
Sites, in units of the cell vectors:
Li 0.000 0.000 0.000
Li 0.329 0.671 0.000
Li 0.671 0.329 0.000
Ce 0.500 0.500 0.500
Ho 0.166 0.834 0.500
Ho 0.834 0.166 0.500
S 0.074 0.417 0.249
S 0.242 0.242 0.753
S 0.417 0.074 0.249
S 0.583 0.926 0.751
S 0.758 0.758 0.247
S 0.926 0.583 0.751



First-principles (PBE-GGA) data for a geometry-optimized LiCe2Ho3S6 structure, as listed in Alexandria.

The calculation puts the uncorrected formation energy at -1.944 eV per atom. As for the magnetization: 1.65 μB/cell.

a b c (Å): 6.795 6.795 6.818
angles (deg): 99.61 99.61 120.08
Sites, in units of the cell vectors:
Li 0.000 0.000 0.000
Ce 0.334 0.666 0.000
Ce 0.666 0.334 0.000
Ho 0.166 0.834 0.500
Ho 0.500 0.500 0.500
Ho 0.834 0.166 0.500
S 0.085 0.409 0.256
S 0.238 0.238 0.745
S 0.409 0.085 0.256
S 0.591 0.915 0.744
S 0.762 0.762 0.255
S 0.915 0.591 0.744



First-principles (PBE-GGA) data for a geometry-optimized LiCeHoSc structure, as listed in Alexandria.

As for the magnetization: 1.24 μB/cell. The value obtained for the formation energy is 214 meV per atom.

a b c (Å): 5.329 5.329 5.329
angles (deg): 60.00 60.00 60.00
Sites, in units of the cell vectors:
Li 0.000 0.000 0.000
Ce 0.750 0.750 0.750
Ho 0.250 0.250 0.250
Sc 0.500 0.500 0.500



First-principles (PBE-GGA) data for a geometry-optimized Li3Ce3HoSe8 structure, as listed in Alexandria.

The calculation puts the uncorrected formation energy at -1.635 eV per atom. As for the magnetization: 2.01 μB/cell.

a b c (Å): 8.055 8.055 8.055
angles (deg): 62.73 62.73 62.73
Sites, in units of the cell vectors:
Li 0.000 0.500 0.500
Li 0.500 0.000 0.500
Li 0.500 0.500 0.000
Ce 0.000 0.000 0.500
Ce 0.000 0.500 0.000
Ce 0.500 0.000 0.000
Ho 0.500 0.500 0.500
Se 0.253 0.253 0.253
Se 0.254 0.254 0.743
Se 0.254 0.743 0.254
Se 0.257 0.746 0.746
Se 0.743 0.254 0.254
Se 0.746 0.257 0.746
Se 0.746 0.746 0.257
Se 0.747 0.747 0.747



First-principles (PBE-GGA) data for a geometry-optimized Li3CeHo2Se6 structure, as listed in Alexandria.

The calculation puts the uncorrected formation energy at -1.659 eV per atom. As for the magnetization: 0.99 μB/cell.

a b c (Å): 7.120 7.120 6.914
angles (deg): 99.85 99.85 120.02
Sites, in units of the cell vectors:
Li 0.000 0.000 0.000
Li 0.331 0.669 0.000
Li 0.669 0.331 0.000
Ce 0.500 0.500 0.500
Ho 0.166 0.834 0.500
Ho 0.834 0.166 0.500
Se 0.073 0.416 0.246
Se 0.243 0.243 0.756
Se 0.416 0.073 0.246
Se 0.584 0.927 0.754
Se 0.757 0.757 0.244
Se 0.927 0.584 0.754



First-principles (PBE-GGA) data for a geometry-optimized LiCeHo2Se4 structure, as listed in Alexandria.

The calculation puts the uncorrected formation energy at -1.728 eV per atom. As for the magnetization: 1.22 μB/cell.

a b c (Å): 7.074 4.070 7.112
angles (deg): 90.00 109.25 90.00
Sites, in units of the cell vectors:
Li 0.000 0.000 0.000
Ce 0.500 0.500 0.000
Ho 0.000 0.500 0.500
Ho 0.500 0.000 0.500
Se 0.238 0.000 0.744
Se 0.243 0.500 0.252
Se 0.757 0.500 0.748
Se 0.762 0.000 0.256



First-principles (PBE-GGA) data for a geometry-optimized LiCe4Ho3Se8 structure, as listed in Alexandria.

The calculation puts the uncorrected formation energy at -1.754 eV per atom. As for the magnetization: 5.05 μB/cell.

a b c (Å): 8.310 8.310 8.310
angles (deg): 59.10 59.10 59.10
Sites, in units of the cell vectors:
Li 0.000 0.000 0.000
Ce 0.000 0.000 0.500
Ce 0.000 0.500 0.000
Ce 0.500 0.000 0.000
Ce 0.500 0.500 0.500
Ho 0.000 0.500 0.500
Ho 0.500 0.000 0.500
Ho 0.500 0.500 0.000
Se 0.241 0.241 0.749
Se 0.241 0.749 0.241
Se 0.251 0.759 0.759
Se 0.254 0.254 0.254
Se 0.746 0.746 0.746
Se 0.749 0.241 0.241
Se 0.759 0.251 0.759
Se 0.759 0.759 0.251



First-principles (PBE-GGA) data for a geometry-optimized Li2CeHoSe4 structure, as listed in Alexandria.

The calculation puts the uncorrected formation energy at -1.640 eV per atom. As for the magnetization: 1.00 μB/cell.

a b c (Å): 6.920 4.134 7.164
angles (deg): 90.00 110.12 90.00
Sites, in units of the cell vectors:
Li 0.000 0.000 0.000
Li 0.000 0.500 0.500
Ce 0.500 0.000 0.500
Ho 0.500 0.500 0.000
Se 0.242 0.500 0.239
Se 0.246 0.000 0.757
Se 0.754 0.000 0.243
Se 0.758 0.500 0.761



First-principles (PBE-GGA) data for a geometry-optimized LiCe2HoSe5 structure, as listed in Alexandria.

The calculation puts the uncorrected formation energy at -1.714 eV per atom. As for the magnetization: 3.90 μB/cell.

a b c (Å): 8.866 8.866 12.454
angles (deg): 90.00 90.00 153.05
Sites, in units of the cell vectors:
Li 0.015 0.985 0.500
Li 0.985 0.015 0.000
Ce 0.374 0.626 0.320
Ce 0.392 0.608 0.706
Ce 0.608 0.392 0.206
Ce 0.626 0.374 0.820
Ho 0.302 0.698 0.024
Ho 0.698 0.302 0.524
Se 0.001 0.999 0.803
Se 0.138 0.862 0.020
Se 0.191 0.809 0.367
Se 0.213 0.787 0.683
Se 0.453 0.547 0.092
Se 0.547 0.453 0.592
Se 0.787 0.213 0.183
Se 0.809 0.191 0.867
Se 0.862 0.138 0.520
Se 0.999 0.001 0.303



First-principles (PBE-GGA) data for a geometry-optimized LiCeHo2Te4 structure, as listed in Alexandria.

The calculation puts the uncorrected formation energy at -1.299 eV per atom. As for the magnetization: 1.28 μB/cell.

a b c (Å): 7.585 4.348 7.610
angles (deg): 90.00 109.19 90.00
Sites, in units of the cell vectors:
Li 0.000 0.000 0.000
Ce 0.500 0.500 0.000
Ho 0.000 0.500 0.500
Ho 0.500 0.000 0.500
Te 0.239 0.000 0.745
Te 0.242 0.500 0.250
Te 0.758 0.500 0.750
Te 0.761 0.000 0.255



First-principles (PBE-GGA) data for a geometry-optimized LiCeHoTe3 structure, as listed in Alexandria.

The calculation puts the uncorrected formation energy at -1.255 eV per atom. As for the magnetization: 2.89 μB/cell.

a b c (Å): 8.966 4.299 9.572
angles (deg): 90.00 104.02 90.00
Sites, in units of the cell vectors:
Li 0.086 0.250 0.086
Li 0.914 0.750 0.914
Ce 0.188 0.250 0.732
Ce 0.812 0.750 0.268
Ho 0.330 0.750 0.342
Ho 0.670 0.250 0.658
Te 0.094 0.250 0.372
Te 0.234 0.750 0.004
Te 0.434 0.750 0.674
Te 0.566 0.250 0.326
Te 0.766 0.250 0.996
Te 0.906 0.750 0.628



First-principles (PBE-GGA) data for a geometry-optimized LiCe2Ho3Te6 structure, as listed in Alexandria.

The calculation puts the uncorrected formation energy at -1.309 eV per atom. As for the magnetization: 2.40 μB/cell.

a b c (Å): 9.822 9.822 8.837
angles (deg): 103.47 103.47 25.61
Sites, in units of the cell vectors:
Li 0.000 0.000 0.000
Ce 0.332 0.332 0.664
Ce 0.668 0.668 0.336
Ho 0.000 0.000 0.500
Ho 0.330 0.330 0.169
Ho 0.670 0.670 0.831
Te 0.162 0.162 0.071
Te 0.163 0.163 0.589
Te 0.497 0.497 0.245
Te 0.503 0.503 0.755
Te 0.837 0.837 0.411
Te 0.838 0.838 0.929



First-principles (PBE-GGA) data for a geometry-optimized LiCe4Ho3Te8 structure, as listed in Alexandria.

The calculation puts the uncorrected formation energy at -1.315 eV per atom. As for the magnetization: 5.44 μB/cell.

a b c (Å): 8.885 8.885 8.885
angles (deg): 59.04 59.04 59.04
Sites, in units of the cell vectors:
Li 0.000 0.000 0.000
Ce 0.000 0.000 0.500
Ce 0.000 0.500 0.000
Ce 0.500 0.000 0.000
Ce 0.500 0.500 0.500
Ho 0.000 0.500 0.500
Ho 0.500 0.000 0.500
Ho 0.500 0.500 0.000
Te 0.241 0.241 0.750
Te 0.241 0.750 0.241
Te 0.250 0.759 0.759
Te 0.254 0.254 0.254
Te 0.746 0.746 0.746
Te 0.750 0.241 0.241
Te 0.759 0.250 0.759
Te 0.759 0.759 0.250



First-principles (PBE-GGA) data for a geometry-optimized LiCe2HoTe4 structure, as listed in Alexandria.

The calculation puts the uncorrected formation energy at -1.298 eV per atom. As for the magnetization: 2.53 μB/cell.

a b c (Å): 7.613 4.394 7.668
angles (deg): 90.00 109.32 90.00
Sites, in units of the cell vectors:
Li 0.000 0.000 0.000
Ce 0.000 0.500 0.500
Ce 0.500 0.000 0.500
Ho 0.500 0.500 0.000
Te 0.240 0.500 0.231
Te 0.250 0.000 0.766
Te 0.750 0.000 0.234
Te 0.760 0.500 0.769



First-principles (PBE-GGA) data for a geometry-optimized Li2CeHo2Tl2 structure, as listed in Alexandria.

As for the magnetization: 1.33 μB/cell. The value obtained for the formation energy is -131 meV per atom.

a b c (Å): 9.253 9.253 9.253
angles (deg): 30.67 30.67 30.67
Sites, in units of the cell vectors:
Li 0.096 0.096 0.096
Li 0.904 0.904 0.904
Ce 0.500 0.500 0.500
Ho 0.372 0.372 0.372
Ho 0.628 0.628 0.628
Tl 0.240 0.240 0.240
Tl 0.760 0.760 0.760



First-principles (PBE-GGA) data for a geometry-optimized LiCeHoTl structure, as listed in Alexandria.

As for the magnetization: 1.29 μB/cell. The value obtained for the formation energy is -75 meV per atom.

a b c (Å): 5.352 5.352 5.352
angles (deg): 60.00 60.00 60.00
Sites, in units of the cell vectors:
Li 0.000 0.000 0.000
Ce 0.750 0.750 0.750
Ho 0.250 0.250 0.250
Tl 0.500 0.500 0.500



First-principles (PBE-GGA) data for a geometry-optimized Li2Ce2HoTl2 structure, as listed in Alexandria.

As for the magnetization: 1.34 μB/cell. The value obtained for the formation energy is -170 meV per atom.

a b c (Å): 9.380 9.380 9.380
angles (deg): 28.68 28.68 28.68
Sites, in units of the cell vectors:
Li 0.091 0.091 0.091
Li 0.909 0.909 0.909
Ce 0.357 0.357 0.357
Ce 0.643 0.643 0.643
Ho 0.500 0.500 0.500
Tl 0.233 0.233 0.233
Tl 0.767 0.767 0.767